{"formula": "Sr3Ca", "functional": "PBE-GGA", "state": "relaxed", "lattice_angstrom": [[-0.5581, -4.3574, 5.3118], [-1.8080, -6.1833, -5.2623], [7.9114, 1.5161, 2.0750]], "species": ["Sr", "Sr", "Sr", "Sr", "Sr", "Sr", "Ca", "Ca"], "fractional_positions": [[0.7500, 0.8316, 0.1684], [0.7500, 0.3367, 0.1684], [0.7500, 0.8316, 0.6633], [0.2500, 0.1684, 0.8316], [0.2500, 0.6633, 0.8316], [0.2500, 0.1684, 0.3367], [0.2500, 0.6667, 0.3333], [0.7500, 0.3333, 0.6667]], "formation_enthalpy_0k_ev_per_atom": 0.012}

---

{"formula": "SrCa", "functional": "PBE-GGA", "state": "relaxed", "lattice_angstrom": [[8.2146, 0.0000, 0.0000], [0.0000, 8.2146, 0.0000], [0.0000, 0.0000, 11.4013]], "species": ["Sr", "Sr", "Sr", "Sr", "Sr", "Sr", "Sr", "Sr", "Ca", "Ca", "Ca", "Ca", "Ca", "Ca", "Ca", "Ca"], "fractional_positions": [[0.0000, 0.2500, 0.1250], [0.0000, 0.7500, 0.1250], [0.7500, 0.0000, 0.8750], [0.7500, 0.5000, 0.3750], [0.2500, 0.5000, 0.3750], [0.2500, 0.0000, 0.8750], [0.5000, 0.7500, 0.6250], [0.5000, 0.2500, 0.6250], [0.0000, 0.2500, 0.6250], [0.0000, 0.7500, 0.6250], [0.7500, 0.0000, 0.3750], [0.7500, 0.5000, 0.8750], [0.2500, 0.5000, 0.8750], [0.2500, 0.0000, 0.3750], [0.5000, 0.7500, 0.1250], [0.5000, 0.2500, 0.1250]], "de_polymorph_mev_per_atom": 9, "formation_enthalpy_0k_ev_per_atom": 0.023}

---

{"formula": "SrCa4", "functional": "PBE-GGA", "state": "relaxed", "lattice_angstrom": [[-0.9886, 4.2694, 7.2763], [-6.0061, -0.5040, -0.5202], [-5.7833, -8.3057, 4.0876]], "species": ["Sr", "Sr", "Ca", "Ca", "Ca", "Ca", "Ca", "Ca", "Ca", "Ca"], "fractional_positions": [[0.0000, 0.0000, 0.0000], [0.5000, 0.0000, 0.5000], [0.0000, 0.1990, 0.3017], [0.5000, 0.8010, 0.1983], [0.0000, 0.8010, 0.6983], [0.5000, 0.1990, 0.8017], [0.7905, 0.5000, 0.5000], [0.2905, 0.5000, 0.0000], [0.2095, 0.5000, 0.5000], [0.7095, 0.5000, 0.0000]], "de_polymorph_mev_per_atom": 0, "formation_enthalpy_0k_ev_per_atom": 0.127}

---

{"formula": "SrCa", "functional": "PBE-GGA", "state": "relaxed", "lattice_angstrom": [[7.4208, 0.0000, 0.0000], [0.0000, 7.4208, 0.0000], [0.0000, 0.0000, 7.3566]], "species": ["Sr", "Sr", "Sr", "Sr", "Ca", "Ca", "Ca", "Ca"], "fractional_positions": [[0.1878, 0.1878, 0.0000], [0.6878, 0.3122, 0.5000], [0.3122, 0.6878, 0.5000], [0.8122, 0.8122, 0.0000], [0.3183, 0.6817, 0.0000], [0.8183, 0.8183, 0.5000], [0.1817, 0.1817, 0.5000], [0.6817, 0.3183, 0.0000]], "de_polymorph_mev_per_atom": 307, "formation_enthalpy_0k_ev_per_atom": 0.320}

---

{"formula": "SrCa6", "functional": "PBE-GGA", "state": "relaxed", "lattice_angstrom": [[-0.1324, 0.4770, -8.2727], [-6.5512, -4.3465, 2.6217], [-0.2850, 7.6344, 3.2122]], "species": ["Sr", "Ca", "Ca", "Ca", "Ca", "Ca", "Ca"], "fractional_positions": [[0.0000, 0.0000, 0.0000], [0.2500, 0.7500, 0.5000], [0.5000, 0.7500, 0.2500], [0.2500, 0.5000, 0.7500], [0.7500, 0.2500, 0.5000], [0.5000, 0.2500, 0.7500], [0.7500, 0.5000, 0.2500]], "de_polymorph_mev_per_atom": 843, "formation_enthalpy_0k_ev_per_atom": 0.868}

---

{"formula": "SrCa", "functional": "PBE-GGA", "state": "relaxed", "lattice_angstrom": [[-3.4424, 9.5391, 8.9847], [-8.6920, -3.5626, -9.7635], [-1.5102, -2.7597, 2.3514]], "species": ["Sr", "Sr", "Sr", "Sr", "Sr", "Sr", "Ca", "Ca", "Ca", "Ca", "Ca", "Ca"], "fractional_positions": [[0.9396, 0.2346, 0.2500], [0.7050, 0.9396, 0.7500], [0.7654, 0.7050, 0.2500], [0.0604, 0.7654, 0.7500], [0.2950, 0.0604, 0.2500], [0.2346, 0.2950, 0.7500], [0.6138, 0.1443, 0.2500], [0.4695, 0.6138, 0.7500], [0.8557, 0.4695, 0.2500], [0.3862, 0.8557, 0.7500], [0.5305, 0.3862, 0.2500], [0.1443, 0.5305, 0.7500]], "de_polymorph_mev_per_atom": 162, "formation_enthalpy_0k_ev_per_atom": 0.176}

---

{"formula": "Sr3Ca4", "functional": "PBE-GGA", "state": "relaxed", "lattice_angstrom": [[15.6159, -0.0335, 0.0000], [14.2507, 6.3854, 0.0000], [-14.9333, -3.1760, 3.2812]], "species": ["Sr", "Sr", "Sr", "Ca", "Ca", "Ca", "Ca"], "fractional_positions": [[0.0000, 0.0000, 0.0000], [0.7095, 0.7095, 0.0000], [0.2905, 0.2905, 0.0000], [0.8631, 0.8631, 0.0000], [0.1369, 0.1369, 0.0000], [0.5727, 0.5727, 0.0000], [0.4273, 0.4273, 0.0000]], "de_polymorph_mev_per_atom": 2, "formation_enthalpy_0k_ev_per_atom": 0.019}

---

{"formula": "SrCa", "functional": "PBE-GGA", "state": "relaxed", "lattice_angstrom": [[-6.0862, 1.4203, -1.5883], [-3.9396, -4.6332, -2.1437], [-4.8641, -2.0640, 3.6963]], "species": ["Sr", "Sr", "Ca", "Ca"], "fractional_positions": [[0.1249, 0.1249, 0.1249], [0.8751, 0.8751, 0.8751], [0.3750, 0.3750, 0.3750], [0.6250, 0.6250, 0.6250]], "de_polymorph_mev_per_atom": 16, "formation_enthalpy_0k_ev_per_atom": 0.030}

---

{"formula": "Sr17Ca12", "functional": "PBE-GGA", "state": "relaxed", "lattice_angstrom": [[2.6435, -11.4596, -3.7885], [9.3462, 4.3435, 6.8152], [-10.3155, -0.1865, 6.7985]], "species": ["Sr", "Sr", "Sr", "Sr", "Sr", "Sr", "Sr", "Sr", "Sr", "Sr", "Sr", "Sr", "Sr", "Sr", "Sr", "Sr", "Sr", "Ca", "Ca", "Ca", "Ca", "Ca", "Ca", "Ca", "Ca", "Ca", "Ca", "Ca", "Ca"], "fractional_positions": [[0.0000, 0.4059, 0.6836], [0.0000, 0.6836, 0.4059], [0.2777, 0.5941, 0.5941], [0.7223, 0.3164, 0.3164], [0.6836, 0.4059, 0.0000], [0.4059, 0.6836, 0.0000], [0.3164, 0.3164, 0.7223], [0.5941, 0.5941, 0.2777], [0.3164, 0.7223, 0.3164], [0.5941, 0.2777, 0.5941], [0.4059, 0.0000, 0.6836], [0.6836, 0.0000, 0.4059], [0.0000, 0.6432, 0.0000], [0.0000, 0.0000, 0.6432], [0.3568, 0.3568, 0.3568], [0.6432, 0.0000, 0.0000], [0.0000, 0.0000, 0.0000], [0.0000, 0.3707, 0.1856], [0.0000, 0.1856, 0.3707], [0.8149, 0.6293, 0.6293], [0.1851, 0.8144, 0.8144], [0.1856, 0.3707, 0.0000], [0.3707, 0.1856, 0.0000], [0.8144, 0.8144, 0.1851], [0.6293, 0.6293, 0.8149], [0.8144, 0.1851, 0.8144], [0.6293, 0.8149, 0.6293], [0.3707, 0.0000, 0.1856], [0.1856, 0.0000, 0.3707]], "formation_enthalpy_0k_ev_per_atom": 0.034}

---

{"formula": "SrCa", "functional": "PBE-GGA", "state": "relaxed", "lattice_angstrom": [[-0.8599, -1.8431, -3.5196], [3.2734, -1.1200, 2.1342], [-3.7214, -4.5770, 3.3060]], "species": ["Sr", "Ca"], "fractional_positions": [[0.6667, 0.3333, 0.5000], [0.0000, 0.0000, 0.0000]], "de_polymorph_mev_per_atom": 12, "formation_enthalpy_0k_ev_per_atom": 0.026}

---

{"formula": "SrCa", "functional": "PBE-GGA", "state": "relaxed", "lattice_angstrom": [[4.0310, 0.6738, 0.0000], [-0.6717, 4.0313, 0.0000], [0.0000, 0.0000, 5.7583]], "species": ["Sr", "Ca"], "fractional_positions": [[0.5000, 0.5000, 0.5000], [0.0000, 0.0000, 0.0000]], "de_polymorph_mev_per_atom": 4, "formation_enthalpy_0k_ev_per_atom": 0.018}

---

{"formula": "Sr5Ca3", "functional": "PBE-GGA", "state": "relaxed", "lattice_angstrom": [[-5.6285, 3.8016, 4.7614], [-5.4730, -5.9967, -1.6992], [1.8540, -2.9894, 4.5785]], "species": ["Ca", "Ca", "Ca", "Sr", "Sr", "Sr", "Sr", "Sr"], "fractional_positions": [[0.5000, 0.5000, 0.0000], [0.7463, 0.2537, 0.5000], [0.2537, 0.7463, 0.5000], [0.0000, 0.0000, 0.0000], [0.0000, 0.5000, 0.0000], [0.5000, 0.0000, 0.0000], [0.2552, 0.2552, 0.5000], [0.7448, 0.7448, 0.5000]], "de_polymorph_mev_per_atom": 0, "formation_enthalpy_0k_ev_per_atom": 0.012}

---

{"formula": "Sr3Ca", "functional": "PBE-GGA", "state": "relaxed", "lattice_angstrom": [[-0.9309, 6.8011, -2.2958], [-2.3925, 6.6319, 1.6387], [6.0796, 3.0098, 2.3878]], "species": ["Sr", "Sr", "Sr", "Ca"], "fractional_positions": [[0.5000, 0.5000, 0.5000], [0.7465, 0.7465, 0.7551], [0.2535, 0.2535, 0.2449], [0.0000, 0.0000, 0.0000]], "formation_enthalpy_0k_ev_per_atom": 0.011}

---

{"formula": "Sr12Ca17", "functional": "PBE-GGA", "state": "relaxed", "lattice_angstrom": [[11.4450, 0.0000, -4.0464], [-5.7225, 9.9116, -4.0464], [0.0000, 0.0000, 12.1392]], "species": ["Sr", "Sr", "Sr", "Sr", "Sr", "Sr", "Sr", "Sr", "Sr", "Sr", "Sr", "Sr", "Ca", "Ca", "Ca", "Ca", "Ca", "Ca", "Ca", "Ca", "Ca", "Ca", "Ca", "Ca", "Ca", "Ca", "Ca", "Ca", "Ca"], "fractional_positions": [[0.0000, 0.3827, 0.1935], [0.0000, 0.1935, 0.3827], [0.8108, 0.6173, 0.6173], [0.1892, 0.8065, 0.8065], [0.1935, 0.3827, 0.0000], [0.3827, 0.1935, 0.0000], [0.8065, 0.8065, 0.1892], [0.6173, 0.6173, 0.8108], [0.8065, 0.1892, 0.8065], [0.6173, 0.8108, 0.6173], [0.3827, 0.0000, 0.1935], [0.1935, 0.0000, 0.3827], [0.0000, 0.4103, 0.6834], [0.0000, 0.6834, 0.4103], [0.2731, 0.5897, 0.5897], [0.7269, 0.3166, 0.3166], [0.6834, 0.4103, 0.0000], [0.4103, 0.6834, 0.0000], [0.3166, 0.3166, 0.7269], [0.5897, 0.5897, 0.2731], [0.3166, 0.7269, 0.3166], [0.5897, 0.2731, 0.5897], [0.4103, 0.0000, 0.6834], [0.6834, 0.0000, 0.4103], [0.0000, 0.6333, 0.0000], [0.0000, 0.0000, 0.6333], [0.3667, 0.3667, 0.3667], [0.6333, 0.0000, 0.0000], [0.0000, 0.0000, 0.0000]], "formation_enthalpy_0k_ev_per_atom": 0.087}

---

{"formula": "SrCa", "functional": "PBE-GGA", "state": "relaxed", "lattice_angstrom": [[7.0416, -0.0052, -0.0032], [5.8552, 3.9116, -0.0032], [5.8552, 1.7735, 3.4865]], "species": ["Sr", "Ca"], "fractional_positions": [[0.5000, 0.5000, 0.5000], [0.0000, 0.0000, 0.0000]], "de_polymorph_mev_per_atom": 9, "formation_enthalpy_0k_ev_per_atom": 0.023}

---

{"formula": "SrCa", "functional": "PBE-GGA", "state": "relaxed", "lattice_angstrom": [[4.7018, 0.0000, 0.0000], [0.0000, 4.5752, 0.3732], [0.0000, -0.7143, 8.8151]], "species": ["Sr", "Sr", "Ca", "Ca"], "fractional_positions": [[0.2500, 0.2500, 0.6396], [0.7500, 0.7500, 0.3604], [0.2500, 0.2499, 0.1105], [0.7500, 0.7501, 0.8895]], "de_polymorph_mev_per_atom": 1, "formation_enthalpy_0k_ev_per_atom": 0.015}

---

{"formula": "Sr5Ca2", "functional": "PBE-GGA", "state": "relaxed", "lattice_angstrom": [[-1.1738, 7.0640, -0.2982], [-9.5951, -1.7890, -4.6110], [-2.9772, -3.7631, 8.7029]], "species": ["Sr", "Sr", "Sr", "Sr", "Sr", "Sr", "Sr", "Sr", "Sr", "Sr", "Ca", "Ca", "Ca", "Ca"], "fractional_positions": [[0.3091, 0.4637, 0.2771], [0.0320, 0.0363, 0.7229], [0.1203, 0.6769, 0.5708], [0.5494, 0.8231, 0.4292], [0.8797, 0.3231, 0.4292], [0.4506, 0.1769, 0.5708], [0.9680, 0.9637, 0.2771], [0.6909, 0.5363, 0.7229], [0.8269, 0.2500, 0.0000], [0.1731, 0.7500, 0.0000], [0.2634, 0.3918, 0.8612], [0.4022, 0.1082, 0.1388], [0.7366, 0.6082, 0.1388], [0.5978, 0.8918, 0.8612]], "de_polymorph_mev_per_atom": 2, "formation_enthalpy_0k_ev_per_atom": 0.015}

---

{"formula": "Sr2Ca7", "functional": "PBE-GGA", "state": "relaxed", "lattice_angstrom": [[-4.0470, 5.3292, -1.7219], [-2.5086, -6.4362, -0.1604], [-2.7971, 0.8601, 9.2358]], "species": ["Sr", "Sr", "Ca", "Ca", "Ca", "Ca", "Ca", "Ca", "Ca"], "fractional_positions": [[0.3333, 0.6667, 0.0000], [0.6667, 0.3333, 0.0000], [0.0000, 0.0000, 0.0000], [0.6699, 0.0000, 0.3383], [0.0000, 0.6699, 0.3383], [0.3301, 0.3301, 0.3383], [0.0000, 0.3301, 0.6617], [0.3301, 0.0000, 0.6617], [0.6699, 0.6699, 0.6617]], "de_polymorph_mev_per_atom": 0, "formation_enthalpy_0k_ev_per_atom": 0.014}

---

{"formula": "SrCa", "functional": "PBE-GGA", "state": "relaxed", "lattice_angstrom": [[-10.7615, 3.2327, 0.5347], [-1.9000, -4.6613, -10.0603], [-2.6694, -9.7144, 5.0052]], "species": ["Sr", "Sr", "Sr", "Sr", "Sr", "Sr", "Ca", "Ca", "Ca", "Ca", "Ca", "Ca"], "fractional_positions": [[0.2500, 0.0000, 0.5000], [0.7500, 0.0000, 0.5000], [0.0000, 0.5000, 0.2500], [0.0000, 0.5000, 0.7500], [0.5000, 0.2500, 0.0000], [0.5000, 0.7500, 0.0000], [0.2500, 0.5000, 0.0000], [0.7500, 0.5000, 0.0000], [0.5000, 0.0000, 0.2500], [0.5000, 0.0000, 0.7500], [0.0000, 0.2500, 0.5000], [0.0000, 0.7500, 0.5000]], "de_polymorph_mev_per_atom": 1022, "formation_enthalpy_0k_ev_per_atom": 1.036}

---

{"formula": "Sr3Ca", "functional": "PBE-GGA", "state": "relaxed", "lattice_angstrom": [[-4.5887, -1.8357, 5.4069], [-4.9797, -2.1077, -4.9417], [2.7941, -6.7711, 0.0724]], "species": ["Sr", "Sr", "Sr", "Ca"], "fractional_positions": [[0.5000, 0.0000, 0.0000], [0.0000, 0.5000, 0.0000], [0.0000, 0.0000, 0.5000], [0.0000, 0.0000, 0.0000]], "formation_enthalpy_0k_ev_per_atom": 0.811}